Record 1
ZrAgCl2: optimized geometry, PBE-GGA.

a = 5.0867 Å, b = 5.0867 Å, c = 5.0867 Å
α = 129.53°, β = 129.53°, γ = 74.16°
With the nearest neighbours (Å) after each atom.
Positions (direct):
1 Zr 0.0000 0.0000 0.0000  8 Cl 2.97, 4 Ag 3.07
2 Ag 0.5000 0.5000 0.0000  8 Cl 2.97, 4 Zr 3.07
3 Cl 0.2500 0.7500 0.5000  4 Zr 2.97, 4 Ag 2.97, 4 Cl 3.07
4 Cl 0.7500 0.2500 0.5000  4 Zr 2.97, 4 Ag 2.97, 4 Cl 3.07

Calculated values
Its calculated total energy is -4.13 eV per atom. As for the raw formation energy: -0.3618 eV per atom. The calculation puts the distance to the lowest polymorph of the same formula at 2.244 eV/f.u.

---

Record 2
K2AlSbPt: optimized geometry, PBE-GGA.

a = 6.1621 Å, b = 6.1621 Å, c = 4.9895 Å
α = 90.00°, β = 90.00°, γ = 90.00°
With the nearest neighbours (Å) after each atom.
Positions (direct):
1 K 0.0000 0.5000 0.0000  2 Pt 3.08
2 K 0.5000 0.0000 0.0000  2 Pt 3.08
3 Al 0.0000 0.0000 0.5000  8 K 3.96, 4 Sb 4.36
4 Sb 0.5000 0.5000 0.5000  2 Pt 2.49
5 Pt 0.5000 0.5000 0.0000  2 Sb 2.49

Calculated values
Its calculated total energy is -3.08 eV per atom. As for the raw formation energy: 0.1420 eV per atom.

---

Record 3
Sm2In8Au: optimized geometry, PBE-GGA.

a = 9.6843 Å, b = 9.6843 Å, c = 6.5879 Å
α = 109.72°, β = 109.72°, γ = 29.69°
With the nearest neighbours (Å) after each atom.
Positions (direct):
1 Sm 0.2034 0.2034 0.2035  10 In 3.23-3.46
2 Sm 0.7966 0.7966 0.7965  10 In 3.23-3.46
3 In 0.0003 0.0003 0.2297  5 In 3.02-3.32, 2 Au 3.06
4 In 0.9997 0.9997 0.7703  5 In 3.02-3.32, 2 Au 3.06
5 In 0.1747 0.1747 0.6755  4 In 3.14, 4 Sm 3.27-3.33
6 In 0.3741 0.3741 0.6360  1 Au 2.80, 1 In 3.13
7 In 0.3745 0.3745 0.1113  1 Au 2.81, 1 In 3.13
8 In 0.6255 0.6255 0.8887  1 Au 2.81, 1 In 3.13
9 In 0.6259 0.6259 0.3640  1 Au 2.80, 1 In 3.13
10 In 0.8253 0.8253 0.3245  4 In 3.14, 4 Sm 3.27-3.33
11 Au 0.5000 0.5000 0.5000  8 In 2.80-3.06

Calculated values
Its calculated total energy is -3.41 eV per atom. As for the formation energy: -267 meV per atom. The calculation puts the distance to the lowest polymorph of the same formula at 1.050 eV/f.u.